Entry 1:
VASP calculation (PBE) on crystalline Co2SiP at its relaxed geometry.

a b c (Å): 5.646 5.646 5.646
angles (deg): 152.99 144.88 44.86
Fractional coordinates of all 4 atoms:
Co: 0.000 0.000 0.000
Co: 0.756 0.256 0.500
Si: 0.416 0.416 0.000
P: 0.175 0.675 0.500

Properties
Density in g cm⁻³: 6.265
Uncorrected formation energy in eV/atom: -0.33
SG: Imm2, No. 44
Total energy in eV per atom: -6.595
Volume in Å³ per cell: 46.9



Entry 2:
VASP calculation (PBE) on crystalline CoSiP2 at its relaxed geometry.

a b c (Å): 4.166 4.166 4.166
angles (deg): 60.00 60.00 60.00
Fractional coordinates of all 4 atoms:
Co: 0.000 0.000 0.000
Si: 0.750 0.750 0.750
P: 0.250 0.250 0.250
P: 0.500 0.500 0.500

Properties
Density in g cm⁻³: 4.837
Uncorrected formation energy in eV/atom: 0.46
SG: F-43m, No. 216
Total energy in eV per atom: -5.382
Volume in Å³ per cell: 51.1



Entry 3:
VASP calculation (PBE) on crystalline Co2SiP at its relaxed geometry.

a b c (Å): 3.093 3.093 4.675
angles (deg): 90.00 90.00 90.00
Fractional coordinates of all 4 atoms:
Co: 0.000 0.000 0.000
Co: 0.500 0.500 0.344
Si: 0.500 0.500 0.831
P: 0.000 0.000 0.502

Properties
Density in g cm⁻³: 6.568
Uncorrected formation energy in eV/atom: -0.42
SG: P4mm, No. 99
Total energy in eV per atom: -6.681
Volume in Å³ per cell: 44.7



Entry 4:
VASP calculation (PBE) on crystalline Co2SiP at its relaxed geometry.

a b c (Å): 4.217 4.217 3.905
angles (deg): 103.22 103.22 40.96
Fractional coordinates of all 4 atoms:
Co: 0.000 0.000 0.000
Co: 0.223 0.223 0.604
Si: 0.490 0.490 0.487
P: 0.728 0.728 0.111

Properties
Density in g cm⁻³: 6.656
Uncorrected formation energy in eV/atom: -0.37
SG: Cm, No. 8
Total energy in eV per atom: -6.630
Volume in Å³ per cell: 44.1



Entry 5:
VASP calculation (PBE) on crystalline Co2SiP2 at its relaxed geometry.

a b c (Å): 3.826 3.826 5.170
angles (deg): 112.21 112.21 88.34
Fractional coordinates of all 5 atoms:
Co: 0.250 0.750 0.000
Co: 0.750 0.250 0.000
Si: 0.000 0.000 0.500
P: 0.376 0.376 0.253
P: 0.624 0.624 0.747

Properties
Density in g cm⁻³: 5.370
Uncorrected formation energy in eV/atom: -0.15
SG: C2/m, No. 12
Total energy in eV per atom: -6.237
Volume in Å³ per cell: 64.3



Entry 6:
VASP calculation (PBE) on crystalline Co3SiP at its relaxed geometry.

a b c (Å): 4.105 4.105 4.105
angles (deg): 90.00 90.00 90.00
Fractional coordinates of all 5 atoms:
Co: 0.000 0.000 0.500
Co: 0.000 0.500 0.000
Co: 0.500 0.000 0.000
Si: 0.500 0.500 0.500
P: 0.000 0.000 0.000

Properties
Density in g cm⁻³: 5.663
Uncorrected formation energy in eV/atom: 0.35
SG: Pm-3m, No. 221
Total energy in eV per atom: -6.079
Volume in Å³ per cell: 69.2



Entry 7:
VASP calculation (PBE) on crystalline Co2SiP at its relaxed geometry.

a b c (Å): 7.246 7.246 7.246
angles (deg): 22.35 22.35 22.35
Fractional coordinates of all 4 atoms:
Co: 0.000 0.000 0.000
Co: 0.239 0.239 0.239
Si: 0.496 0.496 0.496
P: 0.738 0.738 0.738

Properties
Density in g cm⁻³: 6.088
Uncorrected formation energy in eV/atom: -0.01
SG: R3m, No. 160
Total energy in eV per atom: -6.267
Volume in Å³ per cell: 48.3



Entry 8:
VASP calculation (PBE) on crystalline Co2SiP at its relaxed geometry.

a b c (Å): 3.866 3.866 4.604
angles (deg): 101.11 101.11 41.27
Fractional coordinates of all 4 atoms:
Co: 0.250 0.250 0.244
Co: 0.750 0.750 0.756
Si: 0.000 0.000 0.500
P: 0.500 0.500 0.000

Properties
Density in g cm⁻³: 6.615
Uncorrected formation energy in eV/atom: -0.29
SG: C2/m, No. 12
Total energy in eV per atom: -6.554
Volume in Å³ per cell: 44.4



Entry 9:
VASP calculation (PBE) on crystalline Co2SiTcP at its relaxed geometry.

a b c (Å): 4.112 4.112 4.516
angles (deg): 90.00 90.00 90.00
Fractional coordinates of all 5 atoms:
Co: 0.000 0.500 0.000
Co: 0.500 0.000 0.000
Si: 0.000 0.000 0.000
Tc: 0.000 0.000 0.500
P: 0.500 0.500 0.500

Properties
Density in g cm⁻³: 5.980
Uncorrected formation energy in eV/atom: 0.86
SG: P4/mmm, No. 123
Total energy in eV per atom: -6.220
Volume in Å³ per cell: 76.3



Entry 10:
VASP calculation (PBE) on crystalline SmCo4P2 at its relaxed geometry.

a b c (Å): 7.807 7.807 7.807
angles (deg): 28.46 28.46 28.46
Fractional coordinates of all 7 atoms:
Sm: 0.000 0.000 0.000
Co: 0.137 0.137 0.137
Co: 0.424 0.424 0.424
Co: 0.576 0.576 0.576
Co: 0.863 0.863 0.863
P: 0.235 0.235 0.235
P: 0.765 0.765 0.765

Properties
Calculated formation energy in eV per formula unit: -4.43
Density in g cm⁻³: 7.792
SG: R-3m, No. 166
Total energy in eV per atom: -6.913
Volume in Å³ per cell: 95.5



Entry 11:
VASP calculation (PBE) on crystalline SmCo5P2 at its relaxed geometry.

a b c (Å): 5.764 5.764 5.764
angles (deg): 143.59 112.54 79.15
Fractional coordinates of all 8 atoms:
Sm: 0.000 0.000 0.000
Co: 0.159 0.349 0.810
Co: 0.461 0.651 0.810
Co: 0.500 0.000 0.500
Co: 0.539 0.349 0.190
Co: 0.841 0.651 0.190
P: 0.258 0.758 0.500
P: 0.742 0.242 0.500

Properties
Calculated formation energy in eV per formula unit: -4.93
Density in g cm⁻³: 8.219
SG: Immm, No. 71
Total energy in eV per atom: -7.000
Volume in Å³ per cell: 102.4



Entry 12:
VASP calculation (PBE) on crystalline SmCoP at its relaxed geometry.

a b c (Å): 3.923 3.923 6.800
angles (deg): 90.00 90.00 90.00
Fractional coordinates of all 6 atoms:
Sm: 0.250 0.250 0.181
Sm: 0.750 0.750 0.819
Co: 0.250 0.750 0.500
Co: 0.750 0.250 0.500
P: 0.250 0.250 0.685
P: 0.750 0.750 0.315

Properties
Calculated formation energy in eV per formula unit: -2.91
Density in g cm⁻³: 7.627
SG: P4/nmm, No. 129
Total energy in eV per atom: -6.714
Volume in Å³ per cell: 104.6



Entry 13:
VASP calculation (PBE) on crystalline SmCo4P3 at its relaxed geometry.

a b c (Å): 3.706 3.706 7.914
angles (deg): 90.00 90.00 90.00
Fractional coordinates of all 8 atoms:
Sm: 0.000 0.000 0.000
Co: 0.000 0.500 0.337
Co: 0.000 0.500 0.663
Co: 0.500 0.000 0.337
Co: 0.500 0.000 0.663
P: 0.000 0.000 0.500
P: 0.500 0.500 0.188
P: 0.500 0.500 0.812

Properties
Calculated formation energy in eV per formula unit: -6.56
Density in g cm⁻³: 7.317
SG: P4/mmm, No. 123
Total energy in eV per atom: -6.991
Volume in Å³ per cell: 108.7



Entry 14:
VASP calculation (PBE) on crystalline Sm2Co12P7 at its relaxed geometry.

a b c (Å): 9.050 9.050 3.615
angles (deg): 90.00 90.00 120.00
Fractional coordinates of all 21 atoms:
Sm: 0.000 0.000 0.000
Sm: 0.333 0.667 0.500
Co: 0.048 0.766 0.500
Co: 0.099 0.392 0.000
Co: 0.234 0.282 0.500
Co: 0.293 0.901 0.000
Co: 0.395 0.214 0.000
Co: 0.537 0.102 0.500
Co: 0.565 0.463 0.500
Co: 0.608 0.707 0.000
Co: 0.718 0.952 0.500
Co: 0.786 0.181 0.000
Co: 0.819 0.605 0.000
Co: 0.898 0.435 0.500
P: 0.070 0.628 0.000
P: 0.267 0.042 0.500
P: 0.372 0.443 0.000
P: 0.557 0.930 0.000
P: 0.667 0.333 0.000
P: 0.774 0.733 0.500
P: 0.958 0.226 0.500

Properties
Calculated formation energy in eV per formula unit: -16.15
Density in g cm⁻³: 7.932
SG: P-6, No. 174
Total energy in eV per atom: -7.082
Volume in Å³ per cell: 256.4



Entry 15:
VASP calculation (PBE) on crystalline SmCoTcP2 at its relaxed geometry.

a b c (Å): 5.749 5.749 5.749
angles (deg): 139.71 139.71 58.29
Fractional coordinates of all 5 atoms:
Sm: 0.000 0.000 0.000
Co: 0.250 0.750 0.500
Tc: 0.750 0.250 0.500
P: 0.368 0.368 0.000
P: 0.632 0.632 0.000

Properties
Calculated formation energy in eV per formula unit: -4.72
Density in g cm⁻³: 7.787
SG: I-4m2, No. 119
Total energy in eV per atom: -7.546
Volume in Å³ per cell: 78.7



Entry 16:
VASP calculation (PBE) on crystalline SmZn2Co2P at its relaxed geometry.

a b c (Å): 4.207 4.207 5.583
angles (deg): 90.00 90.00 90.00
Fractional coordinates of all 6 atoms:
Sm: 0.000 0.000 0.000
Zn: 0.500 0.500 0.231
Zn: 0.500 0.500 0.769
Co: 0.000 0.500 0.500
Co: 0.500 0.000 0.500
P: 0.000 0.000 0.500

Properties
Calculated formation energy in eV per formula unit: -2.38
Density in g cm⁻³: 7.227
SG: P4/mmm, No. 123
Total energy in eV per atom: -4.878
Volume in Å³ per cell: 98.8



Entry 17:
VASP calculation (PBE) on crystalline Co3SnP at its relaxed geometry.

a b c (Å): 4.638 4.638 4.638
angles (deg): 90.00 90.00 90.00
Fractional coordinates of all 5 atoms:
Co: 0.000 0.000 0.500
Co: 0.000 0.500 0.000
Co: 0.500 0.000 0.000
Sn: 0.000 0.000 0.000
P: 0.500 0.500 0.500

Properties
Calculated formation energy in eV per formula unit: 8.03
Density in g cm⁻³: 5.436
SG: Pm-3m, No. 221
Total energy in eV per atom: -4.540
Volume in Å³ per cell: 99.7



Entry 18:
VASP calculation (PBE) on crystalline CoSnP at its relaxed geometry.

a b c (Å): 6.087 5.947 6.132
angles (deg): 90.00 113.81 90.00
Fractional coordinates of all 12 atoms:
Co: 0.186 0.032 0.197
Co: 0.186 0.468 0.697
Co: 0.814 0.532 0.303
Co: 0.814 0.968 0.803
Sn: 0.349 0.633 0.131
Sn: 0.349 0.867 0.631
Sn: 0.651 0.133 0.369
Sn: 0.651 0.367 0.869
P: 0.144 0.146 0.845
P: 0.144 0.354 0.345
P: 0.856 0.646 0.655
P: 0.856 0.854 0.155

Properties
Calculated formation energy in eV per formula unit: -0.87
Density in g cm⁻³: 6.823
SG: P2_1/c, No. 14
Total energy in eV per atom: -5.797
Volume in Å³ per cell: 203.1



Entry 19:
VASP calculation (PBE) on crystalline CoSnP3 at its relaxed geometry.

a b c (Å): 4.453 4.453 4.453
angles (deg): 90.00 90.00 90.00
Fractional coordinates of all 5 atoms:
Co: 0.000 0.000 0.000
Sn: 0.500 0.500 0.500
P: 0.000 0.000 0.500
P: 0.000 0.500 0.000
P: 0.500 0.000 0.000

Properties
Calculated formation energy in eV per formula unit: 2.31
Density in g cm⁻³: 5.089
SG: Pm-3m, No. 221
Total energy in eV per atom: -5.006
Volume in Å³ per cell: 88.3



Entry 20:
VASP calculation (PBE) on crystalline Co3SnP at its relaxed geometry.

a b c (Å): 4.163 4.163 4.163
angles (deg): 90.00 90.00 90.00
Fractional coordinates of all 5 atoms:
Co: 0.000 0.000 0.500
Co: 0.000 0.500 0.000
Co: 0.500 0.000 0.000
Sn: 0.500 0.500 0.500
P: 0.000 0.000 0.000

Properties
Calculated formation energy in eV per formula unit: 0.52
Density in g cm⁻³: 7.516
SG: Pm-3m, No. 221
Total energy in eV per atom: -6.043
Volume in Å³ per cell: 72.1



Calculated values (μB/f.u.) of total moment for the records, taken in order: 0.01; 0.88; 0.00; 0.00; 0.00; 2.85; 2.19; 0.15; 2.54; 0.00; 0.01; 1.07; 0.00; 5.15; 0.00; 1.60; 3.74; 0.00; 0.00; 1.94.